Crystalline CuIr2Os at its relaxed geometry. Source: Alexandria via LeMat-Bulk, functional PBE.

Cell and atoms, written as CIF:
```
data_CuIr2Os
_cell_length_a 2.7465
_cell_length_b 2.7465
_cell_length_c 7.4033
_cell_angle_alpha 90.00
_cell_angle_beta 90.00
_cell_angle_gamma 90.00
_space_group_name_H-M_alt 'P 4/m m m'
_space_group_IT_number 123
_space_group_name_Hall '-P 4 2'
loop_
_atom_site_label
_atom_site_type_symbol
_atom_site_fract_x
_atom_site_fract_y
_atom_site_fract_z
Cu1 Cu 0.0000 0.0000 0.0000
Ir1 Ir 0.5000 0.5000 0.2495
Os1 Os 0.0000 0.0000 0.5000
```

Energy: -8.2194 eV per atom
Energy relative to the elements: 0.0425 eV per atom

---

Crystalline CaNd4Y7 at its relaxed geometry. Source: Alexandria via LeMat-Bulk, functional PBE.

Cell and atoms, written as CIF:
```
data_CaNd4Y7
_cell_length_a 6.6167
_cell_length_b 6.9580
_cell_length_c 9.2004
_cell_angle_alpha 86.62
_cell_angle_beta 77.40
_cell_angle_gamma 82.50
_space_group_name_H-M_alt 'P -1'
_space_group_IT_number 2
loop_
_space_group_symop_operation_xyz
'x,y,z'
'-x,-y,-z'
loop_
_atom_site_label
_atom_site_type_symbol
_atom_site_fract_x
_atom_site_fract_y
_atom_site_fract_z
Ca1 Ca 0.0000 0.0000 0.0000
Nd1 Nd 0.1576 0.6112 0.3093
Nd2 Nd 0.3646 0.1875 0.7131
Y1 Y 0.0000 0.5000 0.0000
Y2 Y 0.1874 0.1043 0.3804
Y3 Y 0.3232 0.6871 0.6371
Y4 Y 0.4893 0.2538 0.0472
```

Energy: -5.4274 eV per atom
Energy relative to the elements: 0.0994 eV per atom

---

Crystalline RbTl2TeH at its relaxed geometry. Source: Alexandria via LeMat-Bulk, functional PBE.

Cell and atoms, written as CIF:
```
data_RbTl2TeH
_cell_length_a 5.2456
_cell_length_b 5.2456
_cell_length_c 5.4122
_cell_angle_alpha 90.00
_cell_angle_beta 90.00
_cell_angle_gamma 90.00
_space_group_name_H-M_alt 'P 4/m m m'
_space_group_IT_number 123
_space_group_name_Hall '-P 4 2'
loop_
_atom_site_label
_atom_site_type_symbol
_atom_site_fract_x
_atom_site_fract_y
_atom_site_fract_z
Rb1 Rb 0.0000 0.0000 0.0000
Tl1 Tl 0.0000 0.5000 0.5000
Te1 Te 0.5000 0.5000 0.0000
H1 H 0.0000 0.0000 0.5000
```

Energy: -2.6632 eV per atom

---

Crystalline BeBiO2 at its relaxed geometry. Source: Alexandria via LeMat-Bulk, functional PBE.

Cell and atoms, written as CIF:
```
data_BeBiO2
_cell_length_a 4.8904
_cell_length_b 4.8904
_cell_length_c 8.2418
_cell_angle_alpha 90.00
_cell_angle_beta 90.00
_cell_angle_gamma 90.00
_space_group_name_H-M_alt 'I -4 2 d'
_space_group_IT_number 122
_space_group_name_Hall 'I -4 2bw'
loop_
_atom_site_label
_atom_site_type_symbol
_atom_site_fract_x
_atom_site_fract_y
_atom_site_fract_z
Be1 Be 0.0000 0.0000 0.0000
Bi1 Bi 0.0000 0.0000 0.5000
O1 O 0.1059 0.2500 0.1250
```

Energy: -5.8674 eV per atom
Formation energy from raw total energies: -5.9 eV/f.u.

---

- What is the energy in the third record?
  -2.6632 eV per atom